No. 1
Compound: Sn4SbTe2As
Source: Alexandria
Functional: PBE
Structure: relaxed

## Properties
Volume ... 29.43 Å³/atom
Final energy ... -4.003 eV per atom
Density ... 6537 kg/m3

Cell lengths 7.5202, 4.3395, 7.6222 Å; angles 90.00, 108.84, 90.00 degrees
Space group P2/m (No. 10)
Unique sites:
1 Sn 0.2330 0.0000 0.2271
2 Sn 0.2472 0.5000 0.7688
3 Sb 0.5000 0.0000 0.0000
4 Te 0.0000 0.0000 0.5000
5 Te 0.5000 0.5000 0.5000
6 As 0.0000 0.5000 0.0000

No. 2
Compound: FeAs2Ir
Source: Alexandria
Functional: PBE
Structure: relaxed

## Properties
Volume ... 15.67 Å³/atom
Polymorph energy (0 for the lowest one) ... 0.00 kcal/mol of atoms
Final energy ... -6.652 eV per atom
Density ... 10542 kg/m3
Energy relative to the elements ... 0.0040 eV per atom

Cell lengths 8.0336, 3.2626, 4.9029 Å; angles 90.00, 102.72, 90.00 degrees
Space group Cm (No. 8)
Unique sites:
1 Fe 0.0000 0.0000 0.0000
2 As 0.2098 0.5000 0.9664
3 As 0.4734 0.0000 0.3774
4 Ir 0.2089 0.0000 0.5799

No. 3
Compound: Cu5Ni2Pt12
Source: Alexandria
Functional: PBE
Structure: relaxed

## Properties
Volume ... 15.70 Å³/atom
Final energy ... -5.370 eV per atom
Density ... 15453 kg/m3
Energy relative to the elements ... 0.1318 eV per atom

Cell lengths 17.5451, 5.4346, 6.6119 Å; angles 90.00, 108.85, 90.00 degrees
Space group C2/m (No. 12)
Unique sites:
1 Cu 0.0000 0.0000 0.0000
2 Cu 0.0629 0.5000 0.3235
3 Cu 0.2464 0.5000 0.9954
4 Ni 0.0000 0.2202 0.5000
5 Pt 0.0924 0.5000 0.7860
6 Pt 0.1005 0.0000 0.7919
7 Pt 0.1484 0.2456 0.1627
8 Pt 0.1919 0.2509 0.5925

> Which value of volume does entry 3 give?

15.70 Å³/atom

Repeat the first record exactly.
Compound: Sn4SbTe2As
Source: Alexandria
Functional: PBE
Structure: relaxed

## Properties
Volume ... 29.43 Å³/atom
Final energy ... -4.003 eV per atom
Density ... 6537 kg/m3

Cell lengths 7.5202, 4.3395, 7.6222 Å; angles 90.00, 108.84, 90.00 degrees
Space group P2/m (No. 10)
Unique sites:
1 Sn 0.2330 0.0000 0.2271
2 Sn 0.2472 0.5000 0.7688
3 Sb 0.5000 0.0000 0.0000
4 Te 0.0000 0.0000 0.5000
5 Te 0.5000 0.5000 0.5000
6 As 0.0000 0.5000 0.0000

> Which of these has the highest final energy?

Sn4SbTe2As